Entry 1:
Density functional theory data (PBE-GGA) for crystalline Dy6Y8Cd at its relaxed geometry.

abc: 9.477 9.477 6.193
angles: 90.00 90.00 120.00
Fractional coordinates of all 15 atoms:
Dy1 0.093 0.633 0.193
Dy2 0.367 0.459 0.193
Dy3 0.459 0.093 0.807
Dy4 0.541 0.907 0.193
Dy5 0.633 0.541 0.807
Dy6 0.907 0.367 0.807
Y1 0.040 0.775 0.697
Y2 0.225 0.265 0.697
Y3 0.265 0.040 0.303
Y4 0.333 0.667 0.694
Y5 0.667 0.333 0.306
Y6 0.735 0.960 0.697
Y7 0.775 0.735 0.303
Y8 0.960 0.225 0.303
Cd1 0.000 0.000 0.000

Computed properties:
- DOS(E_F): 22.13 states/eV/cell
- Crystal system: trigonal
- Formation energy from the elements: 96 meV/atom
- Space group: P-3, No. 147

***

Entry 2:
Density functional theory data (PBE-GGA) for crystalline Dy3Y4Cd at its relaxed geometry.

abc: 3.570 3.570 19.206
angles: 90.00 90.00 90.00
Fractional coordinates of all 8 atoms:
Dy1 0.000 0.000 0.000
Dy2 0.000 0.000 0.261
Dy3 0.000 0.000 0.739
Y1 0.500 0.500 0.131
Y2 0.500 0.500 0.392
Y3 0.500 0.500 0.608
Y4 0.500 0.500 0.869
Cd1 0.000 0.000 0.500

Computed properties:
- DOS(E_F): 11.20 states/eV/cell
- Crystal system: tetragonal
- Formation energy from the elements: -66 meV/atom
- Space group: P4/mmm, No. 123

***

Entry 3:
Density functional theory data (PBE-GGA) for crystalline Dy3YCd2 at its relaxed geometry.

abc: 5.219 9.407 6.914
angles: 90.00 90.00 90.00
Fractional coordinates of all 12 atoms:
Dy1 0.000 0.046 0.000
Dy2 0.000 0.321 0.340
Dy3 0.000 0.679 0.840
Dy4 0.000 0.954 0.500
Dy5 0.500 0.177 0.698
Dy6 0.500 0.823 0.198
Y1 0.500 0.455 0.038
Y2 0.500 0.545 0.538
Cd1 0.000 0.351 0.792
Cd2 0.000 0.649 0.292
Cd3 0.500 0.149 0.245
Cd4 0.500 0.851 0.745

Computed properties:
- DOS(E_F): 8.53 states/eV/cell
- Crystal system: orthorhombic
- Relative energy among the computed polymorphs: 0 meV/atom
- Formation energy from the elements: -220 meV/atom
- Space group: Pmc2_1, No. 26

***

Entry 4:
Density functional theory data (PBE-GGA) for crystalline Dy2YCd5 at its relaxed geometry.

abc: 5.122 5.122 15.062
angles: 90.00 90.00 90.00
Fractional coordinates of all 16 atoms:
Dy1 0.000 0.000 0.239
Dy2 0.000 0.000 0.761
Dy3 0.500 0.500 0.261
Dy4 0.500 0.500 0.739
Y1 0.000 0.000 0.500
Y2 0.500 0.500 0.000
Cd1 0.000 0.000 0.000
Cd2 0.000 0.500 0.120
Cd3 0.000 0.500 0.380
Cd4 0.000 0.500 0.620
Cd5 0.000 0.500 0.880
Cd6 0.500 0.000 0.120
Cd7 0.500 0.000 0.380
Cd8 0.500 0.000 0.620
Cd9 0.500 0.000 0.880
Cd10 0.500 0.500 0.500

Computed properties:
- DOS(E_F): 7.03 states/eV/cell
- Crystal system: tetragonal
- Formation energy from the elements: -308 meV/atom
- Space group: I4/mmm, No. 139

***

Entry 5:
Density functional theory data (PBE-GGA) for crystalline Dy2YCd8 at its relaxed geometry.

abc: 8.907 8.907 5.334
angles: 106.78 106.78 125.52
Fractional coordinates of all 11 atoms:
Dy1 0.189 0.811 0.000
Dy2 0.811 0.189 0.000
Y1 0.500 0.500 0.500
Cd1 0.015 0.015 0.767
Cd2 0.140 0.399 0.756
Cd3 0.299 0.701 0.500
Cd4 0.399 0.140 0.756
Cd5 0.601 0.860 0.244
Cd6 0.701 0.299 0.500
Cd7 0.860 0.601 0.244
Cd8 0.985 0.985 0.233

Computed properties:
- DOS(E_F): 5.67 states/eV/cell
- Crystal system: monoclinic
- Formation energy from the elements: -241 meV/atom
- Space group: C2/m, No. 12

***

Entry 6:
Density functional theory data (PBE-GGA) for crystalline DyY3Cd at its relaxed geometry.

abc: 14.978 14.978 5.499
angles: 90.97 90.97 14.06
Fractional coordinates of all 10 atoms:
Dy1 0.233 0.233 0.248
Dy2 0.767 0.767 0.752
Y1 0.161 0.161 0.742
Y2 0.372 0.372 0.762
Y3 0.449 0.449 0.272
Y4 0.551 0.551 0.728
Y5 0.628 0.628 0.238
Y6 0.839 0.839 0.258
Cd1 0.039 0.039 0.224
Cd2 0.961 0.961 0.776

Computed properties:
- DOS(E_F): 13.30 states/eV/cell
- Crystal system: monoclinic
- Relative energy among the computed polymorphs: 0 meV/atom
- Formation energy from the elements: -138 meV/atom
- Space group: C2/m, No. 12

***

Entry 7:
Density functional theory data (PBE-GGA) for crystalline Dy5Y3Cd2 at its relaxed geometry.

abc: 10.336 10.336 10.336
angles: 100.31 91.55 142.55
Fractional coordinates of all 20 atoms:
Dy1 0.172 0.099 0.271
Dy2 0.250 0.011 0.761
Dy3 0.250 0.250 0.000
Dy4 0.250 0.489 0.239
Dy5 0.328 0.599 0.926
Dy6 0.672 0.401 0.074
Dy7 0.750 0.511 0.761
Dy8 0.750 0.750 0.000
Dy9 0.750 0.989 0.239
Dy10 0.828 0.901 0.729
Y1 0.220 0.360 0.580
Y2 0.250 0.750 0.500
Y3 0.280 0.860 0.140
Y4 0.720 0.140 0.860
Y5 0.750 0.250 0.500
Y6 0.780 0.640 0.420
Cd1 0.134 0.633 0.767
Cd2 0.366 0.133 0.499
Cd3 0.634 0.867 0.501
Cd4 0.866 0.367 0.233

Computed properties:
- DOS(E_F): 25.51 states/eV/cell
- Crystal system: orthorhombic
- Formation energy from the elements: 159 meV/atom
- Space group: Ibam, No. 72

***

Entry 8:
Density functional theory data (PBE-GGA) for crystalline DyYCd3 at its relaxed geometry.

abc: 14.821 14.821 4.956
angles: 90.00 90.00 166.49
Fractional coordinates of all 10 atoms:
Dy1 0.215 0.785 0.750
Dy2 0.785 0.215 0.250
Y1 0.075 0.925 0.250
Y2 0.925 0.075 0.750
Cd1 0.325 0.675 0.750
Cd2 0.379 0.621 0.250
Cd3 0.476 0.524 0.250
Cd4 0.524 0.476 0.750
Cd5 0.621 0.379 0.750
Cd6 0.675 0.325 0.250

Computed properties:
- DOS(E_F): 9.32 states/eV/cell
- Crystal system: orthorhombic
- Formation energy from the elements: -300 meV/atom
- Space group: Cmcm, No. 63

***

Q: What is the formation energy from the elements in the eighth record?
A: -300 meV/atom

***

Q: The lowest formation energy from the elements belongs to which entry?
A: Dy2YCd5

***

Q: Which of these has the highest formation energy from the elements?
A: Dy5Y3Cd2

***

Q: Which of these has the highest DOS(E_F)?
A: Dy5Y3Cd2